No. 1
Below is a relaxed InCoOs crystal, with properties calculated at the PBE level.

Unit cell a=4.1473 b=4.1473 c=4.1473 alpha=60.00 beta=60.00 gamma=60.00
Last column: magnetic moment on the atom in μB.
Atoms (fractional coordinates):
Os 0.5000 0.5000 0.5000  0.94
Co 0.2500 0.2500 0.2500  1.08
In 0.0000 0.0000 0.0000  -0.06

## Properties
formation enthalpy at 0 K: 0.54 eV per atom
V: 50 Å³/f.u.
energy above the most stable polymorph in this dataset: 28.1 kJ per mole of atoms

No. 2
Below is a relaxed InCoOs crystal, with properties calculated at the PBE level.

Unit cell a=7.3263 b=2.9075 c=8.9648 alpha=90.00 beta=99.81 gamma=90.00
Last column: magnetic moment on the atom in μB.
Atoms (fractional coordinates):
In 0.3812 0.0000 0.3528  -0.02
In 0.6188 0.5000 0.1472  -0.02
In 0.6188 0.0000 0.6472  -0.02
In 0.3812 0.5000 0.8528  -0.02
Os 0.0509 0.0000 0.8707  0.04
Os 0.9491 0.5000 0.6293  0.04
Os 0.9491 0.0000 0.1293  0.04
Os 0.0509 0.5000 0.3707  0.04
Co 0.7789 0.0000 0.3933  0.69
Co 0.2211 0.0000 0.6067  0.69
Co 0.2211 0.5000 0.1067  0.69
Co 0.7789 0.5000 0.8933  0.69

## Properties
formation enthalpy at 0 K: 0.25 eV per atom
V: 47 Å³/f.u.
energy above the most stable polymorph in this dataset: 0.0 kJ per mole of atoms

No. 3
Below is a relaxed InCoOs2 crystal, with properties calculated at the PBE level.

Unit cell a=2.8098 b=2.8098 c=7.5052 alpha=90.00 beta=90.00 gamma=90.00
Last column: magnetic moment on the atom in μB.
Atoms (fractional coordinates):
Co 0.0000 0.0000 0.4810  0.15
Os 0.5000 0.5000 0.2573  0.01
Os 0.0000 0.0000 0.0259  -0.01
In 0.5000 0.5000 0.7358  0.00

## Properties
formation enthalpy at 0 K: 0.27 eV per atom
V: 59 Å³/f.u.

No. 4
Below is a relaxed InCoOs2 crystal, with properties calculated at the PBE level.

Unit cell a=5.1627 b=5.1627 c=5.1627 alpha=146.20 beta=128.39 gamma=63.13
Last column: magnetic moment on the atom in μB.
Atoms (fractional coordinates):
Co 0.5028 0.5028 0.0000  1.15
In 0.2603 0.7603 0.5000  -0.01
Os 0.7426 0.2426 0.5000  0.09
Os 0.9943 0.9943 0.0000  0.03

## Properties
formation enthalpy at 0 K: 0.56 eV per atom
V: 59 Å³/f.u.

No. 5
Below is a relaxed In2Co2Os crystal, with properties calculated at the PBE level.

Unit cell a=6.2766 b=6.2766 c=4.0246 alpha=90.00 beta=90.00 gamma=90.00
Last column: magnetic moment on the atom in μB.
Atoms (fractional coordinates):
Co 0.8738 0.6262 0.0000  0.76
Co 0.1262 0.3738 0.0000  0.76
Co 0.3738 0.8738 0.0000  0.73
Co 0.6262 0.1262 0.0000  0.73
In 0.6795 0.8205 0.5000  -0.04
In 0.8205 0.3205 0.5000  -0.04
In 0.3205 0.1795 0.5000  -0.04
In 0.1795 0.6795 0.5000  -0.04
Os 0.0000 0.0000 0.0000  0.49
Os 0.5000 0.5000 0.0000  0.51

## Properties
formation enthalpy at 0 K: 0.39 eV per atom
V: 79 Å³/f.u.

No. 6
Below is a relaxed InCoOs2 crystal, with properties calculated at the PBE level.

Unit cell a=2.8044 b=3.7227 c=5.7727 alpha=90.00 beta=90.00 gamma=90.00
Last column: magnetic moment on the atom in μB.
Atoms (fractional coordinates):
Os 0.5000 0.5000 0.2468  0.10
Os 0.0000 0.0000 0.0393  -0.06
Co 0.0000 0.0000 0.4816  0.89
In 0.5000 0.5000 0.7323  -0.02

## Properties
formation enthalpy at 0 K: 0.34 eV per atom
V: 60 Å³/f.u.

No. 7
Below is a relaxed InCoOs2 crystal, with properties calculated at the PBE level.

Unit cell a=4.2090 b=2.8141 c=5.3903 alpha=72.68 beta=90.00 gamma=90.00
Last column: magnetic moment on the atom in μB.
Atoms (fractional coordinates):
Co 0.5000 0.2500 0.2500  1.42
In 0.5000 0.7500 0.7500  -0.02
Os 0.0000 0.1014 0.0302  0.27
Os 0.0000 0.3986 0.4698  0.27

## Properties
formation enthalpy at 0 K: 0.54 eV per atom
V: 61 Å³/f.u.

No. 8
Below is a relaxed InCoOs crystal, with properties calculated at the PBE level.

Unit cell a=5.1629 b=3.7349 c=5.4321 alpha=90.00 beta=106.90 gamma=90.00
Last column: magnetic moment on the atom in μB.
Atoms (fractional coordinates):
In 0.7793 0.2500 0.5689  0.00
In 0.2207 0.7500 0.4311  0.00
Co 0.9132 0.2500 0.1057  0.49
Co 0.0868 0.7500 0.8943  0.49
Os 0.4026 0.2500 0.0901  0.00
Os 0.5974 0.7500 0.9099  0.00

## Properties
formation enthalpy at 0 K: 0.31 eV per atom
V: 50 Å³/f.u.
energy above the most stable polymorph in this dataset: 5.7 kJ per mole of atoms